Entry one
VASP calculation (GGA-PBE) on a relaxed structure of LiMgCr.

The space group is I4mm (No. 107) and the conventional cell measures 2.593, 2.593 and 13.809 Å, with angles of 90.00, 90.00 and 90.00 degrees. The inequivalent atoms are Li at (0.000, 0.000, 0.000), Mg at (0.000, 0.000, 0.315) and Cr at (0.000, 0.000, 0.658).

The density of states at the Fermi level is 3.42 states/eV/f.u.

=====

Entry two
VASP calculation (GGA-PBE) on a relaxed structure of LiMgCr.

The space group is F-43m (No. 216) and the conventional cell measures 6.394, 6.394 and 6.394 Å, with angles of 90.00, 90.00 and 90.00 degrees. The inequivalent atoms are Li at (0.000, 0.000, 0.000), Mg at (0.250, 0.250, 0.750) and Cr at (0.250, 0.250, 0.250).

The density of states at the Fermi level is 1.79 states/eV/f.u.

=====

Entry three
VASP calculation (GGA-PBE) on a relaxed structure of LiMgCr.

The space group is P3m1 (No. 156) and the conventional cell measures 4.6851, 4.6851 and 2.9580 Å, with angles of 90.00, 90.00 and 120.00 degrees. The inequivalent atoms are Li at (0.0000, 0.0000, 0.0000), Mg at (0.6667, 0.3333, 0.3464) and Cr at (0.3333, 0.6667, 0.7698).

The density of states at the Fermi level is 1.67 states/eV/f.u.

=====

Each structure's energy above the most stable one, in meV/atom: entry one 114; entry two 347; entry three 0.